The following is a DFT calculation (meta-GGA SCAN) of a PBEsol-optimized structure of Pb3NF.

Results
Total magnetization in μB/f.u.: 0.0
Formation energy without anion corrections in eV per atom: 0.603

Cell: 4.9055 4.9055 4.9055 Å, 90.00 90.00 90.00°
Positions (direct):
Pb (0.0000, 0.0000, 0.5000)
Pb (0.0000, 0.5000, 0.0000)
Pb (0.5000, 0.0000, 0.0000)
N (0.5000, 0.5000, 0.5000)
F (0.0000, 0.0000, 0.0000)